i | Compound: Ta2TeCl
Source: the Alexandria database
Functional: PBE
Structure: optimized geometry

## Properties
- D(E_F) (states/eV per cell) = 6.9
- crystal system = tetragonal

abc: 4.4271 4.4271 8.0447
angles: 90.00 90.00 90.00
Closest atoms and distances in Å follow each position.
Element x y z (fractional)
Ta 0.0000 0.0000 0.0000  4 Ta 2.99, 4 Te 2.99, 4 Cl 3.13
Ta 0.0000 0.5000 0.2500  4 Ta 2.99, 4 Cl 2.99, 4 Te 3.13
Ta 0.5000 0.0000 0.7500  4 Ta 2.99, 4 Cl 2.99, 4 Te 3.13
Ta 0.5000 0.5000 0.5000  4 Ta 2.99, 4 Te 2.99, 4 Cl 3.13
Te 0.0000 0.5000 0.7500  8 Ta 2.99-3.13, 4 Cl 2.99
Te 0.5000 0.0000 0.2500  8 Ta 2.99-3.13, 4 Cl 2.99
Cl 0.0000 0.0000 0.5000  8 Ta 2.99-3.13, 4 Te 2.99
Cl 0.5000 0.5000 0.0000  8 Ta 2.99-3.13, 4 Te 2.99

ii | Compound: Ta2TeCl
Source: the Alexandria database
Functional: PBE
Structure: optimized geometry

## Properties
- D(E_F) (states/eV per cell) = 4.4
- crystal system = orthorhombic

abc: 3.5981 5.0390 10.1213
angles: 90.00 90.00 90.00
Closest atoms and distances in Å follow each position.
Element x y z (fractional)
Ta 0.0000 0.0000 0.0000  6 Ta 2.78-3.10, 2 Te 2.87
Ta 0.0000 0.5000 0.2090  2 Cl 2.62, 2 Ta 2.78
Ta 0.5000 0.0000 0.2090  2 Cl 2.62, 2 Ta 2.78
Ta 0.5000 0.5000 0.0000  6 Ta 2.78-3.10, 2 Te 2.87
Te 0.0000 0.5000 0.7794  2 Ta 2.87, 4 Te 3.10
Te 0.5000 0.0000 0.7794  2 Ta 2.87, 4 Te 3.10
Cl 0.0000 0.0000 0.3968  2 Ta 2.62
Cl 0.5000 0.5000 0.3968  2 Ta 2.62

iii | Compound: Ta2TeCl
Source: the Alexandria database
Functional: PBE
Structure: optimized geometry

## Properties
- D(E_F) (states/eV per cell) = 27.7
- crystal system = cubic

abc: 6.6648 6.6648 6.6648
angles: 90.00 90.00 90.00
Closest atoms and distances in Å follow each position.
Element x y z (fractional)
Ta 0.2500 0.2500 0.2500  4 Cl 2.89, 4 Te 2.89
Ta 0.2500 0.2500 0.7500  4 Cl 2.89, 4 Te 2.89
Ta 0.2500 0.7500 0.2500  4 Cl 2.89, 4 Te 2.89
Ta 0.2500 0.7500 0.7500  4 Cl 2.89, 4 Te 2.89
Ta 0.7500 0.2500 0.2500  4 Cl 2.89, 4 Te 2.89
Ta 0.7500 0.2500 0.7500  4 Cl 2.89, 4 Te 2.89
Ta 0.7500 0.7500 0.2500  4 Cl 2.89, 4 Te 2.89
Ta 0.7500 0.7500 0.7500  4 Cl 2.89, 4 Te 2.89
Te 0.0000 0.0000 0.0000  8 Ta 2.89
Te 0.0000 0.5000 0.5000  8 Ta 2.89
Te 0.5000 0.0000 0.5000  8 Ta 2.89
Te 0.5000 0.5000 0.0000  8 Ta 2.89
Cl 0.0000 0.0000 0.5000  8 Ta 2.89
Cl 0.0000 0.5000 0.0000  8 Ta 2.89
Cl 0.5000 0.0000 0.0000  8 Ta 2.89
Cl 0.5000 0.5000 0.5000  8 Ta 2.89

iv | Compound: Ta2TeCl
Source: the Alexandria database
Functional: PBE
Structure: optimized geometry

## Properties
- D(E_F) (states/eV per cell) = 4.5
- crystal system = monoclinic

abc: 8.9132 3.1948 5.4896
angles: 90.00 103.09 90.00
Closest atoms and distances in Å follow each position.
Element x y z (fractional)
Ta 0.2452 0.0000 0.2451  3 Cl 2.79-2.89, 3 Te 2.85-2.87
Ta 0.2548 0.5000 0.7549  3 Cl 2.79-2.89, 3 Te 2.85-2.87
Ta 0.7452 0.5000 0.2451  3 Cl 2.79-2.89, 3 Te 2.85-2.87
Ta 0.7548 0.0000 0.7549  3 Cl 2.79-2.89, 3 Te 2.85-2.87
Te 0.0000 0.0000 0.5000  6 Ta 2.85-2.87, 4 Cl 3.18
Te 0.5000 0.5000 0.5000  6 Ta 2.85-2.87, 4 Cl 3.18
Cl 0.0000 0.5000 0.0000  6 Ta 2.79-2.89
Cl 0.5000 0.0000 0.0000  6 Ta 2.79-2.89

Energies, relative to the best one, in meV per atom: i 773; ii 0; iii 646; iv 458.